The following is a PBE calculation of a relaxed structure of MgAl2Hg, from Alexandria.

Unit cell a=5.351 b=3.078 c=4.884 alpha=94.02 beta=90.00 gamma=90.00
Fractional coordinates of all 4 atoms:
Al1 0.000 0.045 0.992
Al2 0.000 0.455 0.508
Hg1 0.500 0.250 0.250
Mg1 0.500 0.750 0.750

energy above the most stable polymorph in this dataset: 51 meV/atom
density of states at the Fermi level: 1.6 states/eV per cell
M_tot: 0.00 Bohr magnetons per cell
energy of formation: 6 kJ per mole of atoms